#i
GGA-PBE In2OsBr, optimized geometry; size of the total moment = 0.0 μB/f.u.; space group = P4/mmm (123)
1.0
3.303 0.000 0.000
0.000 3.303 0.000
0.000 0.000 7.964
In Os Br
2 1 1
Direct
0.000 0.000 0.199 In
0.000 0.000 0.801 In
0.500 0.500 0.000 Os
0.500 0.500 0.500 Br



#ii
GGA-PBE In2OsBr, optimized geometry; size of the total moment = 0.0 μB/f.u.; space group = P4mm (99)
1.0
3.200 0.000 0.000
0.000 3.200 0.000
0.000 0.000 8.694
In Os Br
2 1 1
Direct
0.000 0.000 0.000 In
0.500 0.500 0.289 In
0.000 0.000 0.481 Os
0.500 0.500 0.679 Br



How do the energies compare? Relative to the most stable structure, in meV per atom: #i 0; #ii 365.



#i
GGA-PBE InPBr2, optimized geometry; size of the total moment = 2.0 μB/f.u.; space group = Fm-3m (225)
1.0
0.000 3.771 3.771
3.771 0.000 3.771
3.771 3.771 0.000
In P Br
1 1 2
Direct
0.000 0.000 0.000 In
0.500 0.500 0.500 P
0.250 0.250 0.250 Br
0.750 0.750 0.750 Br



#ii
GGA-PBE InPBr2, optimized geometry; size of the total moment = 0.0 μB/f.u.; space group = I-42d (122)
1.0
-2.988 2.988 8.182
2.988 -2.988 8.182
2.988 2.988 -8.182
In P Br
2 2 4
Direct
0.000 0.000 0.000 In
0.750 0.250 0.500 In
0.250 0.750 0.500 P
0.500 0.500 0.000 P
0.227 0.625 0.102 Br
0.375 0.477 0.602 Br
0.523 0.125 0.898 Br
0.875 0.773 0.398 Br



#iii
GGA-PBE InPBr2, optimized geometry; size of the total moment = 0.0 μB/f.u.; space group = Cm (8)
1.0
3.570 -2.217 0.000
3.570 2.217 0.000
-2.409 0.000 8.843
In P Br
1 1 2
Direct
0.000 0.000 0.000 In
0.374 0.374 0.096 P
0.429 0.429 0.347 Br
0.714 0.714 0.760 Br



How do the energies compare? Relative to the most stable structure, in meV per atom: #i 773; #ii 571; #iii 0.



#i
GGA-PBE InPBr2, optimized geometry; size of the total moment = 0.0 μB/f.u.; space group = R-3m (166)
1.0
1.806 1.043 8.970
-1.806 1.043 8.970
0.000 -2.085 8.970
In P Br
1 1 2
Direct
0.000 0.000 0.000 In
0.500 0.500 0.500 P
0.244 0.244 0.244 Br
0.756 0.756 0.756 Br



#ii
GGA-PBE InPBr2, optimized geometry; size of the total moment = 0.0 μB/f.u.; space group = P4mm (99)
1.0
3.498 0.000 0.000
0.000 3.498 0.000
0.000 0.000 8.593
In P Br
1 1 2
Direct
0.000 0.000 0.000 In
0.500 0.500 0.193 P
0.000 0.000 0.379 Br
0.500 0.500 0.787 Br



#iii
GGA-PBE InPBr2, optimized geometry; size of the total moment = 0.0 μB/f.u.; space group = P1 (1)
1.0
5.381 0.000 0.000
1.783 7.149 0.000
0.161 2.176 7.645
In P Br
2 2 4
Direct
0.000 0.000 0.000 In
0.345 0.429 0.005 In
0.066 0.643 0.178 P
0.176 0.269 0.797 P
0.361 0.652 0.376 Br
0.587 0.054 0.763 Br
0.691 0.144 0.237 Br
0.725 0.546 0.815 Br



#iv
GGA-PBE InPBr2, optimized geometry; size of the total moment = 0.0 μB/f.u.; space group = Cmmm (65)
1.0
1.781 -3.363 0.000
1.781 3.363 0.000
0.000 0.000 9.390
In P Br
1 1 2
Direct
0.000 0.000 0.000 In
0.000 0.000 0.500 P
0.500 0.500 0.301 Br
0.500 0.500 0.699 Br



How do the energies compare? Relative to the most stable structure, in meV per atom: #i 664; #ii 490; #iii 0; #iv 509.



#i
GGA-PBE InPBr2, optimized geometry; size of the total moment = 0.0 μB/f.u.; space group = R-3m (166)
1.0
1.813 1.047 9.812
-1.813 1.047 9.812
0.000 -2.094 9.812
In P Br
1 1 2
Direct
0.000 0.000 0.000 In
0.500 0.500 0.500 P
0.417 0.417 0.417 Br
0.583 0.583 0.583 Br



#ii
GGA-PBE InPBr2, optimized geometry; size of the total moment = 0.0 μB/f.u.; space group = Cmm2 (35)
1.0
1.915 -3.798 0.000
1.915 3.798 0.000
0.000 0.000 9.135
In P Br
1 1 2
Direct
0.000 0.000 0.000 In
0.500 0.500 0.798 P
0.000 0.000 0.619 Br
0.500 0.500 0.219 Br



#iii
GGA-PBE InPBr2, optimized geometry; size of the total moment = 0.0 μB/f.u.; space group = Imm2 (44)
1.0
-1.852 2.113 7.581
1.852 -2.113 7.581
1.852 2.113 -7.581
In P Br
1 1 2
Direct
0.000 0.000 0.000 In
0.135 0.635 0.500 P
0.414 0.414 0.000 Br
0.663 0.163 0.500 Br



#iv
GGA-PBE InPBr2, optimized geometry; size of the total moment = 0.0 μB/f.u.; space group = F-43m (216)
1.0
0.000 3.624 3.624
3.624 0.000 3.624
3.624 3.624 0.000
In P Br
1 1 2
Direct
0.000 0.000 0.000 In
0.250 0.250 0.250 P
0.500 0.500 0.500 Br
0.750 0.750 0.750 Br



How do the energies compare? Relative to the most stable structure, in meV per atom: #i 108; #ii 25; #iii 0; #iv 418.



#i
GGA-PBE In2PBr, optimized geometry; size of the total moment = 0.0 μB/f.u.; space group = P4mm (99)
1.0
3.754 0.000 0.000
0.000 3.754 0.000
0.000 0.000 8.480
In P Br
2 1 1
Direct
0.000 0.000 0.000 In
0.500 0.500 0.449 In
0.000 0.000 0.383 P
0.500 0.500 0.791 Br



#ii
GGA-PBE In2PBr, optimized geometry; size of the total moment = 0.0 μB/f.u.; space group = Cmmm (65)
1.0
2.192 -3.066 0.000
2.192 3.066 0.000
0.000 0.000 7.816
In P Br
2 1 1
Direct
0.000 0.000 0.210 In
0.000 0.000 0.790 In
0.500 0.500 0.000 P
0.500 0.500 0.500 Br



#iii
GGA-PBE In2PBr, optimized geometry; size of the total moment = 0.0 μB/f.u.; space group = R-3m (166)
1.0
2.084 1.203 7.147
-2.084 1.203 7.147
0.000 -2.406 7.147
In P Br
2 1 1
Direct
0.232 0.232 0.232 In
0.768 0.768 0.768 In
0.500 0.500 0.500 P
0.000 0.000 0.000 Br



How do the energies compare? Relative to the most stable structure, in meV per atom: #i 130; #ii 228; #iii 0.



#i
GGA-PBE In2PBr, optimized geometry; size of the total moment = 0.0 μB/f.u.; space group = Immm (71)
1.0
-2.039 3.643 3.988
2.039 -3.643 3.988
2.039 3.643 -3.988
In P Br
2 1 1
Direct
0.216 0.216 0.000 In
0.784 0.784 0.000 In
0.000 0.500 0.500 P
0.500 0.000 0.500 Br



#ii
GGA-PBE In2PBr, optimized geometry; size of the total moment = 0.0 μB/f.u.; space group = I-42d (122)
1.0
-3.738 3.738 4.359
3.738 -3.738 4.359
3.738 3.738 -4.359
In P Br
4 2 2
Direct
0.076 0.625 0.951 In
0.375 0.326 0.451 In
0.674 0.125 0.049 In
0.875 0.924 0.549 In
0.000 0.000 0.000 P
0.750 0.250 0.500 P
0.250 0.750 0.500 Br
0.500 0.500 0.000 Br



#iii
GGA-PBE In2PBr, optimized geometry; size of the total moment = 0.0 μB/f.u.; space group = Imm2 (44)
1.0
-1.894 1.902 7.391
1.894 -1.902 7.391
1.894 1.902 -7.391
In P Br
2 1 1
Direct
0.000 0.000 0.000 In
0.799 0.299 0.500 In
0.350 0.850 0.500 P
0.621 0.621 0.000 Br



How do the energies compare? Relative to the most stable structure, in meV per atom: #i 115; #ii 24; #iii 0.



#i
GGA-PBE In2PBr, optimized geometry; size of the total moment = 0.0 μB/f.u.; space group = Pm (6)
1.0
4.306 0.000 0.000
0.000 5.846 0.000
-0.242 0.000 4.301
In P Br
2 1 1
Direct
0.000 0.000 0.000 In
0.435 0.500 0.569 In
0.440 0.000 0.563 P
0.925 0.500 0.080 Br



#ii
GGA-PBE In2PBr, optimized geometry; size of the total moment = 0.0 μB/f.u.; space group = C2/m (12)
1.0
3.794 -3.794 0.000
3.794 3.794 0.000
-0.497 0.000 3.465
In P Br
2 1 1
Direct
0.000 0.500 0.000 In
0.500 0.000 0.000 In
0.000 0.000 0.500 P
0.500 0.500 0.500 Br



How do the energies compare? Relative to the most stable structure, in meV per atom: #i 0; #ii 167.



#i
GGA-PBE In3PBr, optimized geometry; size of the total moment = 1.0 μB/f.u.; space group = Pm-3m (221)
1.0
5.892 0.000 0.000
0.000 5.892 0.000
0.000 0.000 5.892
In P Br
3 1 1
Direct
0.000 0.000 0.500 In
0.000 0.500 0.000 In
0.500 0.000 0.000 In
0.500 0.500 0.500 P
0.000 0.000 0.000 Br



#ii
GGA-PBE In3PBr, optimized geometry; size of the total moment = 0.0 μB/f.u.; space group = Pm-3m (221)
1.0
5.384 0.000 0.000
0.000 5.384 0.000
0.000 0.000 5.384
In P Br
3 1 1
Direct
0.000 0.000 0.500 In
0.000 0.500 0.000 In
0.500 0.000 0.000 In
0.000 0.000 0.000 P
0.500 0.500 0.500 Br



How do the energies compare? Relative to the most stable structure, in meV per atom: #i 582; #ii 0.



#i
GGA-PBE InP2SBr, optimized geometry; size of the total moment = 0.0 μB/f.u.; space group = P4/mmm (123)
1.0
4.985 0.000 0.000
0.000 4.985 0.000
0.000 0.000 4.802
In P S Br
1 2 1 1
Direct
0.000 0.000 0.000 In
0.000 0.500 0.500 P
0.500 0.000 0.500 P
0.500 0.500 0.000 S
0.500 0.500 0.500 Br



#ii
GGA-PBE InP2SBr, optimized geometry; size of the total moment = 1.1 μB/f.u.; space group = P4/mmm (123)
1.0
5.215 0.000 0.000
0.000 5.215 0.000
0.000 0.000 4.901
In P S Br
1 2 1 1
Direct
0.000 0.000 0.000 In
0.000 0.500 0.000 P
0.500 0.000 0.000 P
0.000 0.000 0.500 S
0.500 0.500 0.500 Br



How do the energies compare? Relative to the most stable structure, in meV per atom: #i 92; #ii 0.



#i
GGA-PBE PaIn2Br8, optimized geometry; size of the total moment = 1.0 μB/f.u.; space group = C2/m (12)
1.0
6.547 -4.881 0.000
6.547 4.881 0.000
-5.387 0.000 7.964
Pa In Br
1 2 8
Direct
0.000 0.000 0.000 Pa
0.097 0.097 0.670 In
0.903 0.903 0.330 In
0.145 0.744 0.171 Br
0.239 0.239 0.264 Br
0.256 0.855 0.829 Br
0.324 0.324 0.800 Br
0.676 0.676 0.200 Br
0.744 0.145 0.171 Br
0.761 0.761 0.736 Br
0.855 0.256 0.829 Br



#ii
GGA-PBE PaIn2Br8, optimized geometry; size of the total moment = 0.7 μB/f.u.; space group = C2/m (12)
1.0
6.527 -5.045 0.000
6.527 5.045 0.000
-2.539 0.000 6.608
Pa In Br
1 2 8
Direct
0.000 0.000 0.000 Pa
0.347 0.347 0.539 In
0.653 0.653 0.461 In
0.050 0.675 0.756 Br
0.124 0.124 0.769 Br
0.325 0.950 0.244 Br
0.427 0.427 0.222 Br
0.573 0.573 0.778 Br
0.675 0.050 0.756 Br
0.876 0.876 0.231 Br
0.950 0.325 0.244 Br



How do the energies compare? Relative to the most stable structure, in meV per atom: #i 0; #ii 15.